# 1
This record from Alexandria via LeMat-Bulk describes PrReN2 after structural relaxation. The functional is PBE.

V ... 56.0 Å³/f.u.
E_form (uncorrected) ... -18.9 kcal/mol of atoms
Symmetry ... P4/mmm, No. 123
Offset from the most stable computed form ... 0 meV/atom

Structure (POSCAR):
```
PrReN2
1.0
-3.9244 -0.9118 3.4748
2.2415 -4.3103 -2.1689
4.4491 2.1144 2.0103
Pr Re N
2 2 4
direct
0.5000 0.2500 0.7500
0.5000 0.7500 0.2500
0.0000 0.5000 0.5000
0.0000 0.0000 0.0000
0.5000 0.2500 0.2500
0.0000 0.2500 0.7500
0.5000 0.7500 0.7500
0.0000 0.7500 0.2500
```

# 2
This record from Alexandria via LeMat-Bulk describes Pr2Re2N5 after structural relaxation. The functional is PBE.

V ... 119.0 Å³/f.u.
E_form (uncorrected) ... -15.9 kcal/mol of atoms
Symmetry ... P4/mmm, No. 123
Offset from the most stable computed form ... 0 meV/atom

Structure (POSCAR):
```
Pr2Re2N5
1.0
3.9711 0.0000 0.0000
0.0000 3.9711 0.0000
0.0000 0.0000 7.5474
Pr Re N
2 2 5
direct
0.0000 0.0000 0.0000
0.0000 0.0000 0.5000
0.5000 0.5000 0.2424
0.5000 0.5000 0.7576
0.5000 0.0000 0.2259
0.5000 0.0000 0.7741
0.5000 0.5000 0.5000
0.0000 0.5000 0.2259
0.0000 0.5000 0.7741
```